Crystalline NaNpSeS at its relaxed geometry, computed with GGA-PBE.

a b c (Å): 4.059 4.058 7.505
angles (deg): 90.02 105.68 120.01
Element x y z (fractional)
Na 0.964 0.380 0.360
Np 0.297 0.547 0.859
Se 0.123 0.959 0.097
S 0.493 0.144 0.653

Values from the calculation:
The calculation puts the volume at 101.7 Å³ per cell. The value obtained for the final energy is -0.246 hartree per atom. Its space group is R3m (160). As for the total moment: 4.000 Bohr magnetons per cell. The crystal system is trigonal.